Density functional theory data (GGA-PBE) for crystalline Ba2AlSb2 at its relaxed geometry.

Calculated values
DOS at the Fermi energy (states/eV/f.u.): 2.6
Excess energy over the best structure of this formula in the dataset (meV/atom): 166.8
Energy (eV per cell): -37.677
Magnetic moment (μB per atom): 0.000
Energy relative to the elements, uncorrected (eV/atom): -0.601

Unit cell a=8.3664 b=8.3664 c=5.1187 alpha=90.00 beta=90.00 gamma=90.00
Space group P4/mbm (No. 127)
Inequivalent atoms, fractional coordinates:
Ba1 0.1785 0.3215 0.0000 [4 per cell]
Al1 0.0000 0.0000 0.5000 [2 per cell]
Sb1 0.1234 0.6234 0.5000 [4 per cell]